1.
VASP calculation (PBE) on crystalline Tb5Pr2 at its relaxed geometry.

a b c (Å): 8.5929 8.5929 9.3316
angles (deg): 95.01 95.01 43.26
Fractional coordinates of all 14 atoms:
Tb: 0.0200 0.6898 0.0348
Tb: 0.1183 0.4537 0.6789
Tb: 0.1651 0.8349 0.7500
Tb: 0.3102 0.9800 0.4652
Tb: 0.4537 0.1183 0.1789
Tb: 0.5463 0.8817 0.8211
Tb: 0.6898 0.0200 0.5348
Tb: 0.8349 0.1651 0.2500
Tb: 0.8817 0.5463 0.3211
Tb: 0.9800 0.3102 0.9652
Pr: 0.2589 0.5955 0.3925
Pr: 0.4045 0.7411 0.1075
Pr: 0.5955 0.2589 0.8925
Pr: 0.7411 0.4045 0.6075

Output
**Fermi-level density of states**: 24.18 states/eV/cell
**Formation energy**: 0.023 eV per atom
**Total energy**: -65.1 eV for the cell shown

---

2.
VASP calculation (PBE) on crystalline Tb3Pr at its relaxed geometry.

a b c (Å): 3.6618 11.5547 6.3050
angles (deg): 90.00 90.00 90.00
Fractional coordinates of all 8 atoms:
Tb: 0.0000 0.0000 0.0000
Tb: 0.0000 0.2519 0.3322
Tb: 0.0000 0.7481 0.3322
Tb: 0.5000 0.2481 0.8322
Tb: 0.5000 0.5000 0.5000
Tb: 0.5000 0.7519 0.8322
Pr: 0.0000 0.5000 0.9972
Pr: 0.5000 0.0000 0.4972

Output
**Fermi-level density of states**: 13.90 states/eV/cell
**Formation energy**: 0.024 eV per atom
**Total energy**: -37.1 eV for the cell shown

---

3.
VASP calculation (PBE) on crystalline TbPr4 at its relaxed geometry.

a b c (Å): 3.6844 3.6844 45.0736
angles (deg): 90.00 90.00 120.00
Fractional coordinates of all 15 atoms:
Tb: 0.0000 0.0000 0.0000
Tb: 0.3333 0.6667 0.6667
Tb: 0.6667 0.3333 0.3333
Pr: 0.0000 0.0000 0.2004
Pr: 0.0000 0.0000 0.3985
Pr: 0.0000 0.0000 0.6015
Pr: 0.0000 0.0000 0.7996
Pr: 0.3333 0.6667 0.0652
Pr: 0.3333 0.6667 0.2681
Pr: 0.3333 0.6667 0.4663
Pr: 0.3333 0.6667 0.8670
Pr: 0.6667 0.3333 0.1330
Pr: 0.6667 0.3333 0.5337
Pr: 0.6667 0.3333 0.7319
Pr: 0.6667 0.3333 0.9348

Output
**Fermi-level density of states**: 19.40 states/eV/cell
**Formation energy**: 0.011 eV per atom
**Total energy**: -71.1 eV for the cell shown

---

4.
VASP calculation (PBE) on crystalline TbPr2 at its relaxed geometry.

a b c (Å): 6.7317 6.7317 6.7317
angles (deg): 60.00 60.00 60.00
Fractional coordinates of all 6 atoms:
Tb: 0.1250 0.1250 0.1250
Tb: 0.8750 0.8750 0.8750
Pr: 0.0000 0.5000 0.5000
Pr: 0.5000 0.0000 0.5000
Pr: 0.5000 0.5000 0.0000
Pr: 0.5000 0.5000 0.5000

Output
**Fermi-level density of states**: 11.16 states/eV/cell
**Formation energy**: 0.265 eV per atom
**Total energy**: -26.8 eV for the cell shown